No. 1
# TlCdW2 PBE optimized geometry
data_TlCdW2
_cell_length_a 2.901
_cell_length_b 4.929
_cell_length_c 5.329
_cell_angle_alpha 90.00
_cell_angle_beta 94.32
_cell_angle_gamma 90.00
_symmetry_space_group_name_H-M 'P 1 2/m 1'
_symmetry_Int_Tables_number 10
loop_
_symmetry_equiv_pos_as_xyz
'x,y,z'
'-x,-y,-z'
'-x,y,-z'
'x,-y,z'
loop_
_atom_site_label
_atom_site_type_symbol
_atom_site_fract_x
_atom_site_fract_y
_atom_site_fract_z
Tl1 Tl 0.000 0.000 0.000
Cd1 Cd 0.500 0.000 0.500
W1 W 0.190 0.500 0.731
# Formation energy in eV per atom: 0.88
# E above lowest polymorph in eV per atom: 0.340
# Crystal system: monoclinic

---

No. 2
# Tl2CdW PBE optimized geometry
data_Tl2CdW
_cell_length_a 4.334
_cell_length_b 4.334
_cell_length_c 20.307
_cell_angle_alpha 90.00
_cell_angle_beta 90.00
_cell_angle_gamma 90.00
_symmetry_space_group_name_H-M 'I -4 2 d'
_symmetry_Int_Tables_number 122
_symmetry_space_group_name_Hall 'I -4 2bw'
loop_
_atom_site_label
_atom_site_type_symbol
_atom_site_fract_x
_atom_site_fract_y
_atom_site_fract_z
Tl1 Tl 0.228 0.250 0.125
Cd1 Cd 0.000 0.000 0.500
W1 W 0.000 0.000 0.000
# Formation energy in eV per atom: 1.10
# E above lowest polymorph in eV per atom: 0.454
# Crystal system: tetragonal